1.
The following is a DFT calculation (PBE-GGA) of an optimized crystal structure of BeReAsSe2.

Cell lengths 4.5346, 4.5346, 4.2416 Å; angles 90.00, 90.00, 90.00 degrees
Closest atoms and distances in Å follow each position.
Fractional coordinates of all 5 atoms:
Re (0.5000, 0.5000, 0.5000)  8 Se 3.10, 4 As 3.21
As (0.0000, 0.0000, 0.5000)  2 Be 2.12
Se (0.0000, 0.5000, 0.0000)  2 Be 2.27
Se (0.5000, 0.0000, 0.0000)  2 Be 2.27
Be (0.0000, 0.0000, 0.0000)  2 As 2.12, 4 Se 2.27

## Properties
V in Å³ per atom: 17.44
Excess energy over the best structure of this formula in the dataset in meV per atom: 64
Fermi-level density of states in states/eV/atom: 0.6884
Uncorrected formation energy in eV per atom: 1.057
Symmetry: No. 123

2.
The following is a DFT calculation (PBE-GGA) of an optimized crystal structure of ZrBiI2O.

Cell lengths 6.2509, 6.2509, 4.2527 Å; angles 90.00, 90.00, 90.00 degrees
Closest atoms and distances in Å follow each position.
Fractional coordinates of all 5 atoms:
I (0.0000, 0.5000, 0.0000)  2 Bi 3.13
I (0.5000, 0.0000, 0.0000)  2 Bi 3.13
O (0.0000, 0.0000, 0.5000)  2 Bi 2.13
Bi (0.0000, 0.0000, 0.0000)  2 O 2.13
Zr (0.5000, 0.5000, 0.5000)  8 I 3.78

## Properties
V in Å³ per atom: 33.23
Excess energy over the best structure of this formula in the dataset in meV per atom: 1055
Fermi-level density of states in states/eV/atom: 0.6850
Uncorrected formation energy in eV per atom: 0.214
Symmetry: No. 123

3.
The following is a DFT calculation (PBE-GGA) of an optimized crystal structure of Tb5CoHg2.

Cell lengths 4.0010, 8.8312, 12.3056 Å; angles 90.00, 90.00, 90.00 degrees
Closest atoms and distances in Å follow each position.
Fractional coordinates of all 16 atoms:
Tb (0.0000, 0.0000, 0.5000)  4 Hg 3.03
Tb (0.0000, 0.5000, 0.0000)  4 Hg 3.03
Tb (0.0000, 0.8492, 0.1893)  1 Co 2.68
Tb (0.0000, 0.1508, 0.8107)  1 Co 2.68
Tb (0.0000, 0.6508, 0.6893)  1 Co 2.68
Tb (0.0000, 0.3492, 0.3107)  1 Co 2.68
Tb (0.5000, 0.6732, 0.4285)  2 Co 2.67
Tb (0.5000, 0.3268, 0.5715)  2 Co 2.67
Tb (0.5000, 0.8268, 0.9285)  2 Co 2.67
Tb (0.5000, 0.1732, 0.0715)  2 Co 2.67
Co (0.0000, 0.5000, 0.5000)  6 Tb 2.67-2.68
Co (0.0000, 0.0000, 0.0000)  6 Tb 2.67-2.68
Hg (0.5000, 0.5618, 0.1800)  7 Tb 3.03-3.23
Hg (0.5000, 0.4382, 0.8200)  7 Tb 3.03-3.23
Hg (0.5000, 0.9382, 0.6800)  7 Tb 3.03-3.23
Hg (0.5000, 0.0618, 0.3200)  7 Tb 3.03-3.23

## Properties
V in Å³ per atom: 27.18
Energy of formation from the pure elements in eV per atom: -0.302
Excess energy over the best structure of this formula in the dataset in meV per atom: 0
Fermi-level density of states in states/eV/atom: 1.1769
Symmetry: No. 55

4.
The following is a DFT calculation (PBE-GGA) of an optimized crystal structure of Rb3UBr2Cl6.

Cell lengths 5.9310, 9.5094, 9.8304 Å; angles 118.93, 90.35, 90.00 degrees
Closest atoms and distances in Å follow each position.
Fractional coordinates of all 12 atoms:
Rb (0.0000, 0.5000, 0.0000)  2 Br 3.32, 4 Cl 3.50
Rb (0.5000, 0.5000, 0.5000)  2 Br 3.39, 4 Cl 3.56
Rb (0.5000, 0.0000, 0.5000)  2 Br 3.39, 4 Cl 3.56
U (0.5000, 0.0000, 0.0000)  6 Cl 2.53-2.54
Br (0.1347, 0.6878, 0.3756)  3 Rb 3.32-3.39
Br (0.8653, 0.3122, 0.6244)  3 Rb 3.32-3.39
Cl (0.7364, 0.2551, 0.1265)  1 U 2.54
Cl (0.2636, 0.7449, 0.8735)  1 U 2.54
Cl (0.7425, 0.8797, 0.7595)  1 U 2.53
Cl (0.2575, 0.1203, 0.2405)  1 U 2.53
Cl (0.2636, 0.1286, 0.8735)  1 U 2.54
Cl (0.7364, 0.8714, 0.1265)  1 U 2.54

## Properties
V in Å³ per atom: 40.44
Uncorrected formation energy in eV per atom: -1.722
Symmetry: No. 12

5.
The following is a DFT calculation (PBE-GGA) of an optimized crystal structure of Cs2CaHg2.

Cell lengths 8.6289, 8.6289, 6.2431 Å; angles 90.00, 90.00, 90.00 degrees
Closest atoms and distances in Å follow each position.
Fractional coordinates of all 10 atoms:
Cs (0.1714, 0.6714, 0.5000)  6 Hg 3.94-4.09, 1 Cs 4.18
Cs (0.6714, 0.8286, 0.5000)  6 Hg 3.94-4.09, 1 Cs 4.18
Cs (0.8286, 0.3286, 0.5000)  6 Hg 3.94-4.09, 1 Cs 4.18
Cs (0.3286, 0.1714, 0.5000)  6 Hg 3.94-4.09, 1 Cs 4.18
Ca (0.0000, 0.0000, 0.0000)  4 Hg 3.37
Ca (0.5000, 0.5000, 0.0000)  4 Hg 3.37
Hg (0.3680, 0.8680, 0.0000)  1 Hg 3.22, 2 Ca 3.37
Hg (0.8680, 0.6320, 0.0000)  1 Hg 3.22, 2 Ca 3.37
Hg (0.6320, 0.1320, 0.0000)  1 Hg 3.22, 2 Ca 3.37
Hg (0.1320, 0.3680, 0.0000)  1 Hg 3.22, 2 Ca 3.37

## Properties
V in Å³ per atom: 46.48
Energy of formation from the pure elements in eV per atom: -0.142
Excess energy over the best structure of this formula in the dataset in meV per atom: 0
Fermi-level density of states in states/eV/atom: 0.6074
Symmetry: No. 127

6.
The following is a DFT calculation (PBE-GGA) of an optimized crystal structure of LaRuN2.

Cell lengths 4.9010, 4.9010, 6.3524 Å; angles 67.31, 67.31, 90.00 degrees
Closest atoms and distances in Å follow each position.
Fractional coordinates of all 8 atoms:
Ru (0.5000, 0.5000, 0.0000)  4 N 1.97
Ru (0.2500, 0.7500, 0.5000)  4 N 1.97
N (0.5355, 0.1250, 0.2500)  2 Ru 1.97
N (0.2145, 0.6250, 0.2500)  2 Ru 1.97
N (0.3750, 0.4645, 0.7500)  2 Ru 1.97
N (0.8750, 0.7855, 0.7500)  2 Ru 1.97
La (0.0000, 0.0000, 0.0000)  4 N 2.46
La (0.7500, 0.2500, 0.5000)  4 N 2.46

## Properties
V in Å³ per atom: 15.98
Excess energy over the best structure of this formula in the dataset in meV per atom: 0
Fermi-level density of states in states/eV/atom: 0.2407
Uncorrected formation energy in eV per atom: -0.387
Symmetry: No. 122

7.
The following is a DFT calculation (PBE-GGA) of an optimized crystal structure of Tb2Ho4H.

Cell lengths 4.8148, 4.8148, 9.1721 Å; angles 74.78, 74.78, 90.00 degrees
Closest atoms and distances in Å follow each position.
Fractional coordinates of all 7 atoms:
H (0.0000, 0.0000, 0.0000)  6 Ho 2.41-2.53
Tb (0.6482, 0.6482, 0.7036)  9 Ho 3.40-3.49
Tb (0.3518, 0.3518, 0.2964)  9 Ho 3.40-3.49
Ho (0.8513, 0.8513, 0.2975)  1 H 2.53
Ho (0.1487, 0.1487, 0.7025)  1 H 2.53
Ho (0.0000, 0.5000, 0.0000)  2 H 2.41
Ho (0.5000, 0.0000, 0.0000)  2 H 2.41

## Properties
Uncorrected energy in eV/atom: -4.35
V in Å³ per atom: 28.21
Fermi-level density of states in states/eV/atom: 0.9229
Symmetry: No. 139

8.
The following is a DFT calculation (PBE-GGA) of an optimized crystal structure of Hf2GaPb.

Cell lengths 3.7493, 3.7493, 7.8095 Å; angles 76.11, 76.11, 60.00 degrees
Closest atoms and distances in Å follow each position.
Fractional coordinates of all 4 atoms:
Pb (0.5000, 0.5000, 0.5000)  6 Hf 3.07
Hf (0.2636, 0.2636, 0.2092)  3 Ga 2.67
Hf (0.7364, 0.7364, 0.7908)  3 Ga 2.67
Ga (0.0000, 0.0000, 0.0000)  6 Hf 2.67

## Properties
V in Å³ per atom: 22.84
Energy of formation from the pure elements in eV per atom: -0.008
Excess energy over the best structure of this formula in the dataset in meV per atom: 95
Fermi-level density of states in states/eV/atom: 0.9425
Symmetry: No. 166

9.
The following is a DFT calculation (PBE-GGA) of an optimized crystal structure of Sm14HoIn.

Cell lengths 7.1657, 7.1657, 10.1824 Å; angles 90.00, 90.00, 90.00 degrees
Closest atoms and distances in Å follow each position.
Fractional coordinates of all 16 atoms:
Sm (0.3750, 0.6250, 0.5000)  12 Sm 3.58-3.62
Sm (0.8751, 0.1249, 0.5000)  12 Sm 3.58-3.63
Sm (0.8740, 0.6245, 0.0000)  8 Sm 3.56, 2 In 3.58-3.59, 2 Ho 3.58-3.59
Sm (0.8755, 0.6253, 0.5000)  12 Sm 3.58-3.62
Sm (0.3755, 0.1260, 0.0000)  8 Sm 3.56, 2 In 3.58-3.59, 2 Ho 3.58-3.59
Sm (0.3747, 0.1245, 0.5000)  12 Sm 3.58-3.62
Sm (0.6238, 0.8738, 0.7543)  1 In 3.55, 10 Sm 3.56-3.63, 1 Ho 3.57
Sm (0.6238, 0.8738, 0.2457)  1 In 3.55, 10 Sm 3.56-3.63, 1 Ho 3.57
Sm (0.1262, 0.3762, 0.7543)  1 In 3.55, 10 Sm 3.56-3.63, 1 Ho 3.57
Sm (0.1262, 0.3762, 0.2457)  1 In 3.55, 10 Sm 3.56-3.63, 1 Ho 3.57
Sm (0.1263, 0.8737, 0.7548)  1 In 3.55, 10 Sm 3.56-3.63, 1 Ho 3.57
Sm (0.1263, 0.8737, 0.2452)  1 In 3.55, 10 Sm 3.56-3.63, 1 Ho 3.57
Sm (0.6239, 0.3761, 0.7539)  1 In 3.56, 10 Sm 3.56-3.63, 1 Ho 3.57
Sm (0.6239, 0.3761, 0.2461)  1 In 3.56, 10 Sm 3.56-3.63, 1 Ho 3.57
Ho (0.8750, 0.1250, 0.0000)  12 Sm 3.57-3.59
In (0.3749, 0.6251, 0.0000)  12 Sm 3.55-3.59

## Properties
V in Å³ per atom: 32.68
Energy of formation from the pure elements in eV per atom: -0.036
Fermi-level density of states in states/eV/atom: 1.3462
Symmetry: No. 38

10.
The following is a DFT calculation (PBE-GGA) of an optimized crystal structure of Ac2DyAu4.

Cell lengths 5.4753, 5.4753, 7.7505 Å; angles 110.68, 110.68, 90.00 degrees
Closest atoms and distances in Å follow each position.
Fractional coordinates of all 7 atoms:
Ac (0.7150, 0.7150, 0.4300)  4 Au 3.10
Ac (0.2850, 0.2850, 0.5700)  4 Au 3.10
Au (0.3929, 0.8929, 0.7857)  1 Au 2.88, 2 Dy 3.09, 2 Ac 3.10
Au (0.8929, 0.3929, 0.7857)  1 Au 2.88, 2 Dy 3.09, 2 Ac 3.10
Au (0.6071, 0.1071, 0.2143)  1 Au 2.88, 2 Dy 3.09, 2 Ac 3.10
Au (0.1071, 0.6071, 0.2143)  1 Au 2.88, 2 Dy 3.09, 2 Ac 3.10
Dy (0.0000, 0.0000, 0.0000)  8 Au 3.09

## Properties
V in Å³ per atom: 28.76
Energy of formation from the pure elements in eV per atom: -0.678
Fermi-level density of states in states/eV/atom: 0.9800
Symmetry: No. 139

11.
The following is a DFT calculation (PBE-GGA) of an optimized crystal structure of Dy4Cd5Hg2.

Cell lengths 3.4649, 7.8781, 10.2536 Å; angles 95.30, 90.00, 90.00 degrees
Closest atoms and distances in Å follow each position.
Fractional coordinates of all 11 atoms:
Dy (0.5000, 0.7310, 0.5582)  4 Hg 3.20-3.21, 6 Cd 3.29-3.39, 2 Dy 3.46
Dy (0.5000, 0.1673, 0.8850)  2 Hg 3.09, 6 Cd 3.27-3.32
Dy (0.5000, 0.2690, 0.4418)  4 Hg 3.20-3.21, 6 Cd 3.29-3.39, 2 Dy 3.46
Dy (0.5000, 0.8327, 0.1150)  2 Hg 3.09, 6 Cd 3.27-3.32
Cd (0.0000, 0.5531, 0.2971)  1 Hg 3.01, 2 Cd 3.04-3.05, 2 Dy 3.29
Cd (0.0000, 0.1933, 0.1581)  2 Cd 3.03-3.05, 1 Hg 3.03, 6 Dy 3.28-3.39
Cd (0.0000, 0.5000, 0.0000)  4 Cd 3.03-3.04, 4 Dy 3.27
Cd (0.0000, 0.8067, 0.8419)  2 Cd 3.03-3.05, 1 Hg 3.03, 6 Dy 3.28-3.39
Cd (0.0000, 0.4469, 0.7029)  1 Hg 3.01, 2 Cd 3.04-3.05, 2 Dy 3.29
Hg (0.0000, 0.0655, 0.6404)  1 Hg 2.97, 2 Cd 3.01-3.03, 6 Dy 3.09-3.21
Hg (0.0000, 0.9345, 0.3596)  1 Hg 2.97, 2 Cd 3.01-3.03, 6 Dy 3.09-3.21

## Properties
V in Å³ per atom: 25.34
Energy of formation from the pure elements in eV per atom: -0.295
Fermi-level density of states in states/eV/atom: 0.7551
Symmetry: No. 10

12.
The following is a DFT calculation (PBE-GGA) of an optimized crystal structure of Pu3MgGa7.

Cell lengths 4.0666, 10.0249, 12.1366 Å; angles 90.00, 90.00, 101.70 degrees
Closest atoms and distances in Å follow each position.
Fractional coordinates of all 22 atoms:
Pu (0.1062, 0.2124, 0.4551)  9 Ga 3.03-3.32
Pu (0.8938, 0.7876, 0.5449)  9 Ga 3.03-3.32
Pu (0.2456, 0.4912, 0.7500)  9 Ga 3.15-3.27
Pu (0.7544, 0.5088, 0.2500)  9 Ga 3.15-3.27
Pu (0.1062, 0.2124, 0.0449)  9 Ga 3.03-3.32
Pu (0.8938, 0.7876, 0.9551)  9 Ga 3.03-3.32
Mg (0.9578, 0.9156, 0.2500)  8 Ga 2.81-2.95
Mg (0.0422, 0.0844, 0.7500)  8 Ga 2.81-2.95
Ga (0.4088, 0.8177, 0.7500)  2 Ga 2.65
Ga (0.5912, 0.1823, 0.2500)  2 Ga 2.65
Ga (0.4930, 0.9859, 0.3996)  3 Ga 2.45-2.65
Ga (0.5070, 0.0141, 0.6004)  3 Ga 2.45-2.65
Ga (0.5070, 0.0141, 0.8996)  3 Ga 2.45-2.65
Ga (0.4930, 0.9859, 0.1004)  3 Ga 2.45-2.65
Ga (0.3689, 0.7378, 0.3512)  3 Ga 2.43-2.51
Ga (0.6311, 0.2622, 0.6488)  3 Ga 2.43-2.51
Ga (0.2603, 0.5207, 0.4475)  3 Ga 2.43
Ga (0.7397, 0.4793, 0.5525)  3 Ga 2.43
Ga (0.7397, 0.4793, 0.9475)  3 Ga 2.43
Ga (0.2603, 0.5207, 0.0525)  3 Ga 2.43
Ga (0.3689, 0.7378, 0.1488)  3 Ga 2.43-2.51
Ga (0.6311, 0.2622, 0.8512)  3 Ga 2.43-2.51

## Properties
V in Å³ per atom: 22.02
Energy of formation from the pure elements in eV per atom: -0.228
Fermi-level density of states in states/eV/atom: 3.2160
Symmetry: No. 63